1.
A relaxed Ce2Tm2Mg15 crystal, computed with PBE-GGA.

Structure (POSCAR):
```
Ce2Tm2Mg15
1.0
-2.885 -3.019 6.724
-2.658 -6.794 -3.068
6.306 -4.412 1.847
Ce Tm Mg
2 2 15
Direct
0.329 0.329 0.329
0.671 0.671 0.671
0.102 0.102 0.102
0.898 0.898 0.898
0.500 0.000 0.000
0.000 0.000 0.500
0.000 0.500 0.000
0.000 0.705 0.295
0.705 0.295 0.000
0.295 0.000 0.705
0.295 0.705 0.000
0.705 0.000 0.295
0.000 0.295 0.705
0.155 0.642 0.642
0.642 0.642 0.155
0.642 0.155 0.642
0.845 0.358 0.358
0.358 0.358 0.845
0.358 0.845 0.358
```

Properties
Energy relative to the elements = 0.6 eV per formula unit
D(E_F) = 26.8 states/eV/cell
Electronic total energy = -2.320 eV/atom
Magnetization = 2.73 μB/f.u.

2.
A relaxed CeTm3Mg4 crystal, computed with PBE-GGA.

Structure (POSCAR):
```
CeTm3Mg4
1.0
-2.743 -2.517 -0.453
1.161 -0.329 -5.206
6.899 -7.887 2.037
Mg Tm Ce
4 3 1
Direct
0.000 0.000 0.500
0.000 0.500 0.744
0.000 0.000 0.000
0.000 0.500 0.256
0.500 0.000 0.250
0.500 0.500 0.500
0.500 0.000 0.750
0.500 0.500 0.000
```

Properties
Energy relative to the elements = -0.2 eV per formula unit
D(E_F) = 11.7 states/eV/cell
Electronic total energy = -3.237 eV/atom
Magnetization = 0.97 μB/f.u.

3.
A relaxed CeTm2Mg6 crystal, computed with PBE-GGA.

Structure (POSCAR):
```
CeTm2Mg6
1.0
-1.602 -1.636 -2.297
-5.005 -4.056 6.380
-7.778 3.770 2.739
Ce Tm Mg
1 2 6
Direct
0.000 0.000 0.000
0.000 0.333 0.333
0.000 0.667 0.667
0.499 0.663 0.000
0.501 0.000 0.337
0.501 0.337 0.000
0.500 0.663 0.337
0.499 0.000 0.663
0.500 0.337 0.663
```

Properties
Energy relative to the elements = -0.3 eV per formula unit
D(E_F) = 11.8 states/eV/cell
Electronic total energy = -2.748 eV/atom
Magnetization = 1.25 μB/f.u.

4.
A relaxed CeTmMg2 crystal, computed with PBE-GGA.

Structure (POSCAR):
```
CeTmMg2
1.0
5.354 0.000 0.000
2.677 4.636 0.000
2.677 1.545 4.371
Mg Tm Ce
2 1 1
Direct
0.750 0.750 0.750
0.250 0.250 0.250
0.000 0.000 0.000
0.500 0.500 0.500
```

Properties
Energy relative to the elements = 0.0 eV per formula unit
D(E_F) = 6.7 states/eV/cell
Electronic total energy = -3.401 eV/atom
Energy above the lowest structure with this stoichiometry = 0 meV/atom
Magnetization = 0.84 μB/f.u.